Record 1
First-principles (PBE-GGA) data for a relaxed Tm5MgSn2 crystal, as listed in Alexandria.

Unit cell a=4.4448 b=6.1483 c=17.1883 alpha=90.00 beta=90.00 gamma=111.19
Fractional coordinates of all 16 atoms:
Tm 0.9554 0.9107 0.9009
Tm 0.9554 0.9107 0.5991
Tm 0.3476 0.6952 0.4622
Tm 0.3476 0.6952 0.0378
Tm 0.4575 0.9150 0.2500
Tm 0.5425 0.0850 0.7500
Tm 0.6524 0.3048 0.5378
Tm 0.6524 0.3048 0.9622
Tm 0.0446 0.0893 0.0991
Tm 0.0446 0.0893 0.4009
Mg 0.8211 0.6421 0.7500
Mg 0.1789 0.3579 0.2500
Sn 0.7541 0.5082 0.3539
Sn 0.7541 0.5082 0.1461
Sn 0.2459 0.4918 0.6461
Sn 0.2459 0.4918 0.8539

Summary:
uncorrected energy: -4.261 eV per atom
space-group type: No. 63
total magnetization: 0.0 Bohr magnetons per cell
calculated formation energy: -0.266 eV/atom

=====

Record 2
First-principles (PBE-GGA) data for a relaxed Tm5Mg2Sn crystal, as listed in Alexandria.

Unit cell a=8.2810 b=8.2810 c=8.6907 alpha=118.45 beta=118.45 gamma=90.00
Fractional coordinates of all 16 atoms:
Tm 0.4963 0.6889 0.6852
Tm 0.8111 0.0037 0.3148
Tm 0.0000 0.0000 0.0000
Tm 0.5000 0.5000 0.0000
Tm 0.1889 0.9963 0.6852
Tm 0.6889 0.1889 0.6852
Tm 0.9963 0.4963 0.6852
Tm 0.3111 0.8111 0.3148
Tm 0.0037 0.5037 0.3148
Tm 0.5037 0.3111 0.3148
Mg 0.1377 0.3623 0.0000
Mg 0.6377 0.1377 0.0000
Mg 0.3623 0.8623 0.0000
Mg 0.8623 0.6377 0.0000
Sn 0.7500 0.7500 0.5000
Sn 0.2500 0.2500 0.5000

Summary:
uncorrected energy: -3.844 eV per atom
space-group type: No. 140
total magnetization: 0.0 Bohr magnetons per cell
calculated formation energy: -0.151 eV/atom

=====

Record 3
First-principles (PBE-GGA) data for a relaxed TmMgSn2 crystal, as listed in Alexandria.

Unit cell a=4.5264 b=4.5264 c=6.8524 alpha=70.71 beta=70.71 gamma=60.00
Fractional coordinates of all 4 atoms:
Tm 0.6726 0.6726 0.9822
Mg 0.4930 0.4930 0.5211
Sn 0.0892 0.0892 0.7323
Sn 0.2452 0.2452 0.2644

Summary:
uncorrected energy: -3.817 eV per atom
space-group type: No. 160
total magnetization: 0.0 Bohr magnetons per cell
calculated formation energy: -0.299 eV/atom